## LiHfMgIn (PBE)

Data for LiHfMgIn after structural relaxation.

Unit cell a=4.457 b=4.457 c=8.033 alpha=90.00 beta=90.00 gamma=90.00
Element x y z (fractional)
Li 0.250 0.750 0.000
Li 0.750 0.250 0.000
Hf 0.250 0.750 0.500
Hf 0.750 0.250 0.500
Mg 0.250 0.250 0.229
Mg 0.750 0.750 0.771
In 0.250 0.250 0.772
In 0.750 0.750 0.228

Computed properties:
SG = P4/nmm
Spin magnetization = 0.000 μB/f.u.
E_form = -0.15 eV/atom
DOS at the Fermi energy = 4.70 states/eV/cell
Distance to the lowest polymorph of the same formula = 0.000 eV per atom